{
  "formula": "ZrCuTc2",
  "functional": "PBE",
  "state": "relaxed",
  "formation_energy_ev_per_atom": 0.404,
  "spacegroup": "I-42d (122)",
  "e_above_lowest_polymorph_kcal_per_mol_atoms": 9.57,
  "final_energy_ev_per_cell": -63.521,
  "cell": [[-1.9027, 1.9027, 9.4585], [1.9027, -1.9027, 9.4585], [1.9027, 1.9027, -9.4585]],
  "species": ["Zr", "Zr", "Cu", "Cu", "Tc", "Tc", "Tc", "Tc"],
  "frac_coords": [[0.0000, 0.0000, 0.0000], [0.7500, 0.2500, 0.5000], [0.2500, 0.7500, 0.5000], [0.5000, 0.5000, 0.0000], [0.1719, 0.6250, 0.0469], [0.3750, 0.4219, 0.5469], [0.5781, 0.1250, 0.9531], [0.8750, 0.8281, 0.4531]]
}